Entry 1:
A plane-wave DFT calculation with PBE-GGA was carried out for a relaxed structure of La6Hg2C.

abc: 7.3276 7.3276 11.8517
angles: 90.00 90.00 90.00
Element x y z (fractional)
La 0.3105 0.3105 0.3523
La 0.6895 0.6895 0.3523
La 0.1895 0.8105 0.8523
La 0.8105 0.1895 0.8523
La 0.1895 0.8105 0.1477
La 0.8105 0.1895 0.1477
La 0.3105 0.3105 0.6477
La 0.6895 0.6895 0.6477
La 0.2411 0.2411 0.0000
La 0.7589 0.7589 0.0000
La 0.2589 0.7411 0.5000
La 0.7411 0.2589 0.5000
Hg 0.0000 0.0000 0.3615
Hg 0.5000 0.5000 0.8615
Hg 0.5000 0.5000 0.1385
Hg 0.0000 0.0000 0.6385
C 0.0000 0.0000 0.0000
C 0.5000 0.5000 0.5000

Values from the calculation:
Energy above the lowest structure with this stoichiometry ... 0.190 eV/atom
E ... -4.456 eV per atom
Space-group type ... P4_2/mnm
Fermi-level density of states ... 26.51 states/eV/cell
Calculated formation energy ... -79.3 meV per atom


Entry 2:
A plane-wave DFT calculation with PBE-GGA was carried out for a relaxed structure of Rb3SmSb2Se6.

abc: 7.4525 7.4525 8.3669
angles: 98.54 98.54 120.00
Element x y z (fractional)
Rb 0.1671 0.8329 0.5000
Rb 0.8329 0.1671 0.5000
Rb 0.5000 0.5000 0.5000
Sm 0.0000 0.0000 0.0000
Sb 0.3334 0.6666 0.0000
Sb 0.6666 0.3334 0.0000
Se 0.9343 0.5979 0.8029
Se 0.7294 0.7294 0.1972
Se 0.0657 0.4021 0.1971
Se 0.5979 0.9343 0.8029
Se 0.2706 0.2706 0.8028
Se 0.4021 0.0657 0.1971

Values from the calculation:
E ... -4.094 eV per atom
Space-group type ... C2/m


- The lowest E belongs to which entry?
  La6Hg2C


- Which of these has the lowest E?
  La6Hg2C


- Which value of E does entry 1 give?
  -4.456 eV per atom


- Among the records above, which one has the lowest E?
  La6Hg2C